Gd2PtPb after structural relaxation. Source: Alexandria, functional PBE.

Cell lengths 5.226, 5.226, 5.226 Å; angles 60.00, 60.00, 60.00 degrees
Site moments in Bohr magnetons follow the coordinates.
Fractional positions:
Gd 0.750 0.750 0.750  -7.04
Gd 0.250 0.250 0.250  -7.04
Pt 0.000 0.000 0.000  0.04
Pb 0.500 0.500 0.500  0.04

Properties
* mass density: 11.791 g/cm3
* relative energy among the computed polymorphs: 106 meV per atom
* energy: -40.86 eV for the cell shown
* calculated volume: 100.9 Å³ per cell
* magnetization: 14.29 μB/f.u.